Below is a geometry-optimized TbSm3Tl structure, with properties calculated at the PBE-GGA level.

```
TbSm3Tl
1.0
-0.502 1.198 -3.393
4.663 -2.578 -1.601
-2.122 -7.246 -4.184
Tb Sm Tl
1 3 1
Direct
0.401 0.205 0.902
0.689 0.992 0.327
0.110 0.413 0.485
0.805 0.609 0.095
0.004 0.805 0.702
```

Values from the calculation:
total DFT energy (no corrections): -21.50 eV per cell
crystal system: monoclinic
ΔE to the lowest computed polymorph: 61 meV/atom
total magnetization: 0.00 μB/f.u.

Below is a geometry-optimized CoSnGe structure, with properties calculated at the PBE-GGA level.

```
CoSnGe
1.0
2.974 0.000 -0.005
0.000 3.839 0.000
-0.002 0.000 9.885
Co Sn Ge
2 2 2
Direct
0.499 0.250 0.408
0.501 0.750 0.592
0.999 0.250 0.155
0.001 0.750 0.845
0.001 0.250 0.617
0.999 0.750 0.383
```

Values from the calculation:
total DFT energy (no corrections): -31.43 eV per cell
crystal system: monoclinic
total magnetization: 0.32 μB/f.u.

Below is a geometry-optimized Sm2Ho2Er3 structure, with properties calculated at the PBE-GGA level.

```
Sm2Ho2Er3
1.0
-1.729 -2.153 -2.136
-2.157 -4.845 6.628
-4.368 7.614 -1.284
Sm Ho Er
2 2 3
Direct
0.567 0.911 0.133
0.433 0.089 0.867
0.851 0.668 0.701
0.149 0.332 0.299
0.000 0.500 0.000
0.212 0.800 0.423
0.788 0.200 0.577
```

Values from the calculation:
total DFT energy (no corrections): -31.43 eV per cell
crystal system: monoclinic
ΔE to the lowest computed polymorph: 0 meV/atom
total magnetization: 0.00 μB/f.u.

Below is a geometry-optimized YPPd2 structure, with properties calculated at the PBE-GGA level.

```
YPPd2
1.0
4.546 0.000 0.000
0.000 4.546 0.000
2.273 2.273 8.027
Y P Pd
2 2 4
Direct
0.000 0.000 0.000
0.750 0.250 0.500
0.500 0.500 0.000
0.250 0.750 0.500
0.526 0.125 0.250
0.224 0.625 0.250
0.375 0.474 0.750
0.875 0.776 0.750
```

Values from the calculation:
total DFT energy (no corrections): -49.79 eV per cell
crystal system: tetragonal
total magnetization: 0.00 μB/f.u.

> Look up the total DFT energy (no corrections) of the first one.

-21.50 eV per cell